1.
A PBEsol-optimized structure of NaLaSiO4, computed with meta-GGA SCAN.

Cell: 7.0532 5.4591 9.5575 Å, 90.00 90.00 90.00°
Last column: nearest neighbours and their distance in Å.
Element x y z (fractional)
Na: 0.1632 0.2500 0.0599  3 O 2.34-2.59
Na: 0.3368 0.7500 0.5599  3 O 2.34-2.59
Na: 0.6632 0.2500 0.4401  3 O 2.34-2.59
Na: 0.8368 0.7500 0.9401  3 O 2.34-2.59
La: 0.0006 0.2500 0.6940  7 O 2.41-2.55
La: 0.4994 0.7500 0.1940  7 O 2.41-2.55
La: 0.5006 0.2500 0.8060  7 O 2.41-2.55
La: 0.9994 0.7500 0.3060  7 O 2.41-2.55
Si: 0.2267 0.2500 0.4161  4 O 1.63-1.65
Si: 0.2733 0.7500 0.9161  4 O 1.63-1.65
Si: 0.7267 0.2500 0.0839  4 O 1.63-1.65
Si: 0.7733 0.7500 0.5839  4 O 1.63-1.65
O: 0.0052 0.7500 0.5687  1 Si 1.64
O: 0.1798 0.7500 0.0743  1 Si 1.65
O: 0.2077 0.5028 0.8331  1 Si 1.63
O: 0.2077 0.9972 0.8331  1 Si 1.63
O: 0.2923 0.0028 0.3331  1 Si 1.63
O: 0.2923 0.4972 0.3331  1 Si 1.63
O: 0.3202 0.2500 0.5743  1 Si 1.65
O: 0.4948 0.2500 0.0687  1 Si 1.64
O: 0.5052 0.7500 0.9313  1 Si 1.64
O: 0.6798 0.7500 0.4257  1 Si 1.65
O: 0.7077 0.5028 0.6669  1 Si 1.63
O: 0.7077 0.9972 0.6669  1 Si 1.63
O: 0.7923 0.0028 0.1669  1 Si 1.63
O: 0.7923 0.4972 0.1669  1 Si 1.63
O: 0.8202 0.2500 0.9257  1 Si 1.65
O: 0.9948 0.2500 0.4313  1 Si 1.64

E_tot   -14.9518 eV per atom
Raw formation energy   -3.200 eV/atom
Space-group type   Pnma (62)
Distance to the lowest polymorph of the same formula   5 kJ/mol of formula units
Total magnetization   0.00 μB/atom

=====

2.
A PBEsol-optimized structure of NaAg3Se, computed with meta-GGA SCAN.

Cell: 5.0381 5.0381 5.0381 Å, 90.00 90.00 90.00°
Last column: nearest neighbours and their distance in Å.
Element x y z (fractional)
Na: 0.0000 0.0000 0.0000  12 Ag 3.56
Ag: 0.0000 0.5000 0.5000  2 Se 2.52
Ag: 0.5000 0.0000 0.5000  2 Se 2.52
Ag: 0.5000 0.5000 0.0000  2 Se 2.52
Se: 0.5000 0.5000 0.5000  6 Ag 2.52

E_tot   -23.4072 eV per atom
Raw formation energy   0.272 eV/atom
Space-group type   Pm-3m (221)
Total magnetization   0.00 μB/atom

=====

3.
A PBEsol-optimized structure of TlAg2Ru, computed with meta-GGA SCAN.

Cell: 9.4294 9.4294 9.4294 Å, 17.95 17.95 17.95°
Last column: nearest neighbours and their distance in Å.
Element x y z (fractional)
Tl: 0.0000 0.0000 0.0000  3 Ru 2.84, 6 Tl 2.94, 3 Ag 3.04
Ag: 0.5058 0.5058 0.5058  3 Ru 2.78, 9 Ag 2.84-2.94
Ag: 0.7575 0.7575 0.7575  9 Ag 2.84-2.94, 3 Tl 3.04
Ru: 0.2515 0.2515 0.2515  3 Ag 2.78, 3 Tl 2.84, 6 Ru 2.94

E_tot   -41.9915 eV per atom
Formation enthalpy at 0 K   0.49 eV per atom
Space-group type   R3m (160)
Distance to the lowest polymorph of the same formula   0 kJ/mol of formula units
Total magnetization   0.22 μB/atom

=====

4.
A PBEsol-optimized structure of SrMg2, computed with meta-GGA SCAN.

Cell: 6.4042 6.4042 10.2912 Å, 90.00 90.00 120.00°
Last column: nearest neighbours and their distance in Å.
Element x y z (fractional)
Sr: 0.3333 0.6667 0.0604  12 Mg 3.69-3.75, 4 Sr 3.90
Sr: 0.3333 0.6667 0.4396  12 Mg 3.69-3.75, 4 Sr 3.90
Sr: 0.6667 0.3333 0.5604  12 Mg 3.69-3.75, 4 Sr 3.90
Sr: 0.6667 0.3333 0.9396  12 Mg 3.69-3.75, 4 Sr 3.90
Mg: 0.0000 0.0000 0.0000  6 Mg 3.17
Mg: 0.0000 0.0000 0.5000  6 Mg 3.17
Mg: 0.1668 0.3336 0.7500  6 Mg 3.17-3.20
Mg: 0.1668 0.8332 0.7500  6 Mg 3.17-3.20
Mg: 0.3336 0.1668 0.2500  6 Mg 3.17-3.20
Mg: 0.6664 0.8332 0.7500  6 Mg 3.17-3.20
Mg: 0.8332 0.1668 0.2500  6 Mg 3.17-3.20
Mg: 0.8332 0.6664 0.2500  6 Mg 3.17-3.20

E_tot   -10.8565 eV per atom
Formation enthalpy at 0 K   -0.12 eV per atom
Space-group type   P6_3/mmc (194)
Total magnetization   0.03 μB/atom

=====

5.
A PBEsol-optimized structure of MgFe2BPd, computed with meta-GGA SCAN.

Cell: 4.3625 4.3625 4.4100 Å, 90.00 90.00 90.00°
Last column: nearest neighbours and their distance in Å.
Element x y z (fractional)
Mg: 0.0000 0.0000 0.0000  4 Fe 2.18, 2 Pd 2.20
Fe: 0.0000 0.5000 0.0000  2 Mg 2.18
Fe: 0.5000 0.0000 0.0000  2 Mg 2.18
B: 0.5000 0.5000 0.5000  4 Pd 3.08, 8 Fe 3.10
Pd: 0.0000 0.0000 0.5000  2 Mg 2.20

E_tot   -14.2458 eV per atom
Formation enthalpy at 0 K   2.04 eV per atom
Space-group type   P4/mmm (123)
Total magnetization   1.18 μB/atom

=====

6.
A PBEsol-optimized structure of Li2CuAu, computed with meta-GGA SCAN.

Cell: 5.4239 5.4239 5.4239 Å, 102.47 102.47 124.61°
Last column: nearest neighbours and their distance in Å.
Element x y z (fractional)
Li: 0.1137 0.6250 0.9887  2 Cu 2.43, 2 Li 2.53, 2 Au 2.54
Li: 0.3750 0.3637 0.4887  2 Cu 2.43, 2 Li 2.53, 2 Au 2.54
Li: 0.6363 0.1250 0.0113  2 Cu 2.43, 2 Li 2.53, 2 Au 2.54
Li: 0.8750 0.8863 0.5113  2 Cu 2.43, 2 Li 2.53, 2 Au 2.54
Cu: 0.0000 0.0000 0.0000  4 Li 2.43, 2 Au 2.52
Cu: 0.7500 0.2500 0.5000  4 Li 2.43, 2 Au 2.52
Au: 0.2500 0.7500 0.5000  2 Cu 2.52, 4 Li 2.54
Au: 0.5000 0.5000 0.0000  2 Cu 2.52, 4 Li 2.54

E_tot   -22.4483 eV per atom
Formation enthalpy at 0 K   -0.16 eV per atom
Space-group type   I-42d (122)
Total magnetization   0.00 μB/atom

=====

7.
A PBEsol-optimized structure of IrRu2Au, computed with meta-GGA SCAN.

Cell: 2.6868 2.6868 9.3994 Å, 90.00 90.00 119.31°
Last column: nearest neighbours and their distance in Å.
Element x y z (fractional)
Ir: 0.0000 0.0000 0.0000  2 Ru 2.63, 6 Ir 2.69-2.71, 2 Au 2.84
Ru: 0.0000 0.0000 0.5280  8 Ru 2.57-2.71, 2 Au 2.81
Ru: 0.5000 0.5000 0.7598  8 Ru 2.57-2.71, 2 Ir 2.63
Au: 0.5000 0.5000 0.2657  6 Au 2.69-2.71, 2 Ru 2.81, 2 Ir 2.84

E_tot   -52.0459 eV per atom
Formation enthalpy at 0 K   0.43 eV per atom
Space-group type   Cmm2 (35)
Distance to the lowest polymorph of the same formula   43 kJ/mol of formula units
Total magnetization   0.50 μB/atom

=====

8.
A PBEsol-optimized structure of TlFe2Rh, computed with meta-GGA SCAN.

Cell: 3.0120 3.0120 6.2903 Å, 90.00 90.00 90.00°
Last column: nearest neighbours and their distance in Å.
Element x y z (fractional)
Tl: 0.0000 0.0000 0.0000  5 Fe 2.76-2.98, 4 Rh 2.82, 4 Tl 3.01
Fe: 0.0000 0.0000 0.4740  4 Fe 2.46, 4 Rh 2.58
Fe: 0.5000 0.5000 0.2782  4 Fe 2.46, 1 Rh 2.69
Rh: 0.5000 0.5000 0.7054  5 Fe 2.58-2.69, 4 Tl 2.82

E_tot   -35.4379 eV per atom
Formation enthalpy at 0 K   0.16 eV per atom
Space-group type   P4mm (99)
Distance to the lowest polymorph of the same formula   8 kJ/mol of formula units
Total magnetization   1.55 μB/atom

=====

9.
A PBEsol-optimized structure of AlMoAs2, computed with meta-GGA SCAN.

Cell: 9.5554 9.5554 9.5554 Å, 17.58 17.58 17.58°
Last column: nearest neighbours and their distance in Å.
Element x y z (fractional)
Al: 0.0000 0.0000 0.0000  3 Mo 2.70, 3 As 2.78, 6 Al 2.92
Mo: 0.7415 0.7415 0.7415  3 As 2.61, 3 Al 2.70, 6 Mo 2.92
As: 0.2548 0.2548 0.2548  3 Al 2.78, 6 As 2.92
As: 0.4788 0.4788 0.4788  3 Mo 2.61, 6 As 2.92

E_tot   -20.7022 eV per atom
Formation enthalpy at 0 K   0.05 eV per atom
Space-group type   R3m (160)
Total magnetization   0.00 μB/atom

=====

10.
A PBEsol-optimized structure of Al2HgSe4, computed with meta-GGA SCAN.

Cell: 7.6668 7.6668 7.6668 Å, 60.00 60.00 60.00°
Last column: nearest neighbours and their distance in Å.
Element x y z (fractional)
Al: 0.0000 0.0000 0.0000  6 Se 2.57
Al: 0.0000 0.0000 0.5000  6 Se 2.57
Al: 0.0000 0.5000 0.0000  6 Se 2.57
Al: 0.5000 0.0000 0.0000  6 Se 2.57
Hg: 0.3750 0.3750 0.3750  4 Se 2.61
Hg: 0.6250 0.6250 0.6250  4 Se 2.61
Se: 0.2076 0.7641 0.7641  3 Al 2.57, 1 Hg 2.61
Se: 0.2359 0.2359 0.2359  3 Al 2.57, 1 Hg 2.61
Se: 0.2359 0.2359 0.7924  3 Al 2.57, 1 Hg 2.61
Se: 0.2359 0.7924 0.2359  3 Al 2.57, 1 Hg 2.61
Se: 0.7641 0.2076 0.7641  3 Al 2.57, 1 Hg 2.61
Se: 0.7641 0.7641 0.2076  3 Al 2.57, 1 Hg 2.61
Se: 0.7641 0.7641 0.7641  3 Al 2.57, 1 Hg 2.61
Se: 0.7924 0.2359 0.2359  3 Al 2.57, 1 Hg 2.61

E_tot   -24.1749 eV per atom
Raw formation energy   -0.749 eV/atom
Space-group type   Fd-3m (227)
Distance to the lowest polymorph of the same formula   30 kJ/mol of formula units
Total magnetization   0.00 μB/atom

=====

11.
A PBEsol-optimized structure of LaTa3B, computed with meta-GGA SCAN.

Cell: 4.5231 4.5231 4.5231 Å, 90.00 90.00 90.00°
Last column: nearest neighbours and their distance in Å.
Element x y z (fractional)
La: 0.0000 0.0000 0.0000  12 Ta 3.20
Ta: 0.0000 0.5000 0.5000  2 B 2.26
Ta: 0.5000 0.0000 0.5000  2 B 2.26
Ta: 0.5000 0.5000 0.0000  2 B 2.26
B: 0.5000 0.5000 0.5000  6 Ta 2.26

E_tot   -49.5911 eV per atom
Formation enthalpy at 0 K   0.47 eV per atom
Space-group type   Pm-3m (221)
Total magnetization   0.00 μB/atom

=====

12.
A PBEsol-optimized structure of Cu2IrSe, computed with meta-GGA SCAN.

Cell: 8.1361 8.1361 8.1361 Å, 20.05 20.05 20.05°
Last column: nearest neighbours and their distance in Å.
Element x y z (fractional)
Cu: 0.2493 0.2493 0.2493  3 Se 2.56, 3 Ir 2.59, 6 Cu 2.83
Cu: 0.7507 0.7507 0.7507  3 Se 2.56, 3 Ir 2.59, 6 Cu 2.83
Ir: 0.0000 0.0000 0.0000  6 Cu 2.59, 6 Ir 2.83
Se: 0.5000 0.5000 0.5000  6 Cu 2.56, 6 Se 2.83

E_tot   -30.0528 eV per atom
Raw formation energy   0.341 eV/atom
Space-group type   R-3m (166)
Total magnetization   0.00 μB/atom

=====

13.
A PBEsol-optimized structure of KTa2Cd, computed with meta-GGA SCAN.

Cell: 6.7348 6.7348 5.3073 Å, 113.13 113.13 23.30°
Last column: nearest neighbours and their distance in Å.
Element x y z (fractional)
K: 0.0000 0.0000 0.0000  2 K 2.72, 4 Cd 2.98
Ta: 0.2197 0.2197 0.7198  2 Ta 2.72, 2 Cd 2.98
Ta: 0.7803 0.7803 0.2802  2 Ta 2.72, 2 Cd 2.98
Cd: 0.5000 0.5000 0.5000  2 Cd 2.72, 4 K 2.98, 4 Ta 2.98

E_tot   -42.2109 eV per atom
Formation enthalpy at 0 K   0.77 eV per atom
Space-group type   C2/m (12)
Total magnetization   0.00 μB/atom